Here is a geometry-optimized ScPt3 structure from Alexandria via LeMat-Bulk. Energies are from PBE.

Unit cell a=5.147 b=5.147 c=5.147 alpha=90.00 beta=90.00 gamma=90.00
Space group Pm-3n (No. 223)
Asymmetric unit:
1 Sc 0.000 0.000 0.000 [2 per cell]
2 Pt 0.000 0.250 0.500 [6 per cell]

Computed properties:
- spin magnetization (μB per formula unit) = 0.0
- E_tot (eV per cell) = -54.5

***

Here is a geometry-optimized Sc2Pt structure from Alexandria via LeMat-Bulk. Energies are from PBE.

Unit cell a=5.3618 b=5.3618 c=8.8817 alpha=90.00 beta=90.00 gamma=120.00
Space group P6_3/mmc (No. 194)
Asymmetric unit:
1 Sc 0.0000 0.0000 0.0000 [2 per cell]
2 Sc 0.1750 0.3499 0.2500 [6 per cell]
3 Pt 0.3333 0.6667 0.5647 [4 per cell]

Computed properties:
- spin magnetization (μB per formula unit) = 0.4
- E_tot (eV per cell) = -76.2

***

Here is a geometry-optimized Sc2Pt structure from Alexandria via LeMat-Bulk. Energies are from PBE.

Unit cell a=6.453 b=6.453 c=6.453 alpha=90.00 beta=90.00 gamma=90.00
Space group Fm-3m (No. 225)
Asymmetric unit:
1 Sc 0.250 0.250 0.250 [8 per cell]
2 Pt 0.000 0.000 0.000 [4 per cell]

Computed properties:
- spin magnetization (μB per formula unit) = 0.0
- E_tot (eV per cell) = -85.2

***

Here is a geometry-optimized ScPt structure from Alexandria via LeMat-Bulk. Energies are from PBE.

Unit cell a=3.952 b=3.952 c=9.092 alpha=90.00 beta=90.00 gamma=90.00
Space group I4_1/amd (No. 141, origin choice 2)
Asymmetric unit:
1 Sc 0.000 0.250 0.375 [4 per cell]
2 Pt 0.000 0.250 0.875 [4 per cell]

Computed properties:
- spin magnetization (μB per formula unit) = 0.0
- E_tot (eV per cell) = -58.3

***

Here is a geometry-optimized ScPt structure from Alexandria via LeMat-Bulk. Energies are from PBE.

Unit cell a=3.364 b=12.708 c=14.250 alpha=90.00 beta=90.00 gamma=90.00
Space group Fddd (No. 70, origin choice 2)
Asymmetric unit:
1 Sc 0.125 0.256 0.125 [16 per cell]
2 Pt 0.125 0.125 0.522 [16 per cell]

Computed properties:
- spin magnetization (μB per formula unit) = 0.0
- E_tot (eV per cell) = -233.2

***

Here is a geometry-optimized ScPt structure from Alexandria via LeMat-Bulk. Energies are from PBE.

Unit cell a=8.057 b=8.057 c=8.057 alpha=90.00 beta=90.00 gamma=90.00
Space group I-43m (No. 217)
Asymmetric unit:
1 Sc 0.190 0.190 0.190 [8 per cell]
2 Pt 0.128 0.128 0.872 [8 per cell]

Computed properties:
- spin magnetization (μB per formula unit) = 0.0
- E_tot (eV per cell) = -103.8

***

Here is a geometry-optimized ScPt3 structure from Alexandria via LeMat-Bulk. Energies are from PBE.

Unit cell a=2.884 b=4.015 c=5.664 alpha=90.00 beta=90.00 gamma=90.00
Space group Pmmm (No. 47)
Asymmetric unit:
1 Sc 0.000 0.000 0.000 [1 per cell]
2 Pt 0.000 0.000 0.500 [1 per cell]
3 Pt 0.500 0.500 0.251 [2 per cell]

Computed properties:
- spin magnetization (μB per formula unit) = 0.0
- E_tot (eV per cell) = -27.6

***

Here is a geometry-optimized Sc5Pt4 structure from Alexandria via LeMat-Bulk. Energies are from PBE.

Unit cell a=8.3056 b=8.3056 c=5.6780 alpha=90.00 beta=90.00 gamma=120.00
Space group P6_3/mcm (No. 193)
Asymmetric unit:
1 Sc 0.0000 0.2842 0.2500 [6 per cell]
2 Sc 0.3333 0.6667 0.0000 [4 per cell]
3 Pt 0.0000 0.0000 0.0000 [2 per cell]
4 Pt 0.0000 0.3923 0.7500 [6 per cell]

Computed properties:
- spin magnetization (μB per formula unit) = 0.0
- ΔE to the lowest computed polymorph (eV/atom) = 0.000

***

Among the records above, which one has the highest spin magnetization?
number 2